# TlSb2P2, relaxed, DFT GGA-PBE
data_TlSb2P2
_cell_length_a 8.7570
_cell_length_b 8.7570
_cell_length_c 3.6746
_cell_angle_alpha 90.00
_cell_angle_beta 90.00
_cell_angle_gamma 90.00
_space_group_name_H-M_alt 'P 4/m b m'
_space_group_IT_number 127
_space_group_name_Hall '-P 4 2ab'
loop_
_atom_site_label
_atom_site_fract_x
_atom_site_fract_y
_atom_site_fract_z
Tl1 0.0000 0.0000 0.0000
Sb1 0.1607 0.3393 0.5000
P1 0.1995 0.6995 0.0000
# energy: -40.045 eV per cell
# ΔE to the lowest computed polymorph: 8.8 kJ per mole of atoms
# raw formation energy: 0.282 eV per atom
# spin magnetization: 0.0 Bohr magnetons per cell
# D(E_F): 0.5094 states/eV/atom